1.
CaHfP2 | Alexandria via LeMat-Bulk | PBE | optimized geometry; space-group type = Fm-3m (225); density = 6.15 g cm⁻³; D(E_F) = 0.564 states/eV per atom; formation energy = -0.6299 eV per atom; offset from the most stable computed form = 628 meV/atom
1.0
0.3000 1.1989 4.5863
1.3355 4.3907 1.2245
-3.1605 3.0061 1.8806
P Ca Hf
2 1 1
Cartesian
-0.3812 2.1489 1.9228 P
-1.1437 6.4468 5.7685 P
0.0000 0.0000 0.0000 Ca
-0.7625 4.2979 3.8457 Hf

***

2.
Ca3Hf2PaP6 | Alexandria via LeMat-Bulk | PBE | optimized geometry; space-group type = C2/m (12); density = 5.68 g cm⁻³; D(E_F) = 0.312 states/eV per atom; formation energy = -1.2685 eV per atom
1.0
-5.4097 3.8679 -1.1958
0.2649 -6.2904 -2.4527
-1.1250 -1.4624 6.7404
Ca Hf Pa P
3 2 1 6
Cartesian
-1.2336 -5.3460 1.1248 Ca
-5.0362 1.4611 1.9671 Ca
-3.1349 -1.9425 1.5460 Ca
-1.6258 -2.9058 -2.0339 Hf
-3.5190 0.4833 -1.6146 Hf
0.0000 0.0000 0.0000 Pa
-5.7211 -1.2296 2.6859 P
-4.0271 -2.1051 -1.1675 P
-0.5486 -2.6554 0.4061 P
-3.7864 -4.6931 2.2573 P
-2.2427 -1.7798 4.2594 P
-2.4834 0.8081 0.8346 P

***

3.
Ca3HfPa2P6 | Alexandria via LeMat-Bulk | PBE | optimized geometry; space-group type = C2/m (12); density = 5.79 g cm⁻³; D(E_F) = 0.597 states/eV per atom; formation energy = -1.2581 eV per atom
1.0
6.8856 -0.0016 -0.0003
-3.4425 5.9633 -0.0003
-1.1491 -1.9896 6.6156
Ca Hf Pa P
3 1 2 6
Cartesian
-2.2791 3.9647 3.3075 Ca
4.5731 0.0073 3.3075 Ca
1.1470 1.9860 3.3075 Ca
0.0000 0.0000 0.0000 Hf
0.0021 3.9739 -0.0003 Pa
3.4410 1.9878 -0.0003 Pa
3.4157 2.0315 5.1111 P
2.3227 4.0217 1.5096 P
-1.1217 1.9405 1.5038 P
0.0526 3.9739 5.1111 P
-0.0287 -0.0496 5.1053 P
2.2414 -0.0018 1.5038 P

***

4.
Ca2PmHfP4 | Alexandria via LeMat-Bulk | PBE | optimized geometry; space-group type = P2/m (10); density = 4.76 g cm⁻³; D(E_F) = 0.541 states/eV per atom; formation energy = -1.1955 eV per atom
1.0
3.9737 0.0000 0.0000
0.0000 6.9224 0.1337
0.0000 -2.4050 6.6395
Ca Pm Hf P
2 1 1 4
Cartesian
1.9868 -1.2025 3.3197 Ca
0.0000 2.2587 3.3866 Ca
1.9868 3.4612 0.0668 Pm
0.0000 0.0000 0.0000 Hf
1.9868 1.0132 1.5243 P
1.9868 3.5042 5.2488 P
0.0000 -0.2116 5.1144 P
0.0000 4.7290 1.6587 P

***

5.
CaPr2HfP4 | Alexandria via LeMat-Bulk | PBE | optimized geometry; space-group type = P2/m (10); density = 5.54 g cm⁻³; D(E_F) = 0.139 states/eV per atom; formation energy = -1.3160 eV per atom
1.0
4.0405 0.0000 0.0000
0.0000 7.0562 0.1606
0.0000 -2.4282 6.5028
Ca Pr Hf P
1 2 1 4
Cartesian
2.0202 3.5281 0.0803 Ca
2.0202 -1.2141 3.2514 Pr
0.0000 2.3140 3.3317 Pr
0.0000 0.0000 0.0000 Hf
2.0202 1.0722 1.5003 P
2.0202 3.5557 5.1632 P
0.0000 -0.1775 5.0259 P
0.0000 4.8054 1.6376 P

***

6.
Ca2PuHfP4 | Alexandria via LeMat-Bulk | PBE | optimized geometry; space-group type = P2/m (10); density = 5.86 g cm⁻³; D(E_F) = 1.393 states/eV per atom; formation energy = -1.1606 eV per atom
1.0
-2.3041 -2.6049 1.8775
4.2530 -5.0236 -1.7507
2.0168 2.6354 6.1315
Ca Pu Hf P
2 1 1 4
Cartesian
-0.1437 0.0153 4.0045 Ca
3.1349 -1.1941 2.1904 Ca
0.9745 -3.8143 0.0634 Pu
0.0000 0.0000 0.0000 Hf
0.2885 -1.8888 1.8931 P
3.6772 -3.1043 4.3652 P
2.6278 0.7918 4.3234 P
3.6420 -3.1800 0.0574 P